(1)
The following is a DFT calculation (meta-GGA SCAN) of a crystal of LiCa2Y relaxed with PBEsol.

Output
* DOS(E_F): 2.72 states/eV/f.u.
* volume: 33.03 Å³ per atom
* raw total energy: -12.22 eV per atom

a b c (Å): 3.9361 5.7938 5.7938
angles (deg): 90.00 90.00 90.00
Fractional coordinates of all 4 atoms:
Ca  0.0000  0.0000  0.5000
Ca  0.0000  0.5000  0.0000
Li  0.5000  0.5000  0.5000
Y  0.5000  0.0000  0.0000



(2)
The following is a DFT calculation (meta-GGA SCAN) of a crystal of CdHgS2Cl relaxed with PBEsol.

Output
* DOS(E_F): 3.94 states/eV/f.u.
* volume: 24.33 Å³ per atom
* energy relative to the elements, uncorrected: 294.5 meV/atom
* raw total energy: -24.87 eV per atom

a b c (Å): 4.9323 4.9666 4.9666
angles (deg): 90.00 90.00 90.00
Fractional coordinates of all 5 atoms:
S  0.0000  0.0000  0.5000
S  0.0000  0.5000  0.0000
Cl  0.5000  0.0000  0.0000
Hg  0.5000  0.5000  0.5000
Cd  0.0000  0.0000  0.0000



(3)
The following is a DFT calculation (meta-GGA SCAN) of a crystal of CaZnPb3 relaxed with PBEsol.

Output
* DOS(E_F): 4.50 states/eV/f.u.
* volume: 38.31 Å³ per atom
* raw total energy: -49.41 eV per atom

a b c (Å): 5.7646 5.7646 5.7646
angles (deg): 90.00 90.00 90.00
Fractional coordinates of all 5 atoms:
Pb  0.0000  0.5000  0.0000
Pb  0.0000  0.0000  0.5000
Pb  0.5000  0.0000  0.0000
Zn  0.5000  0.5000  0.5000
Ca  0.0000  0.0000  0.0000



(4)
The following is a DFT calculation (meta-GGA SCAN) of a crystal of Sr2LaMnSe relaxed with PBEsol.

Output
* DOS(E_F): 3.95 states/eV/f.u.
* volume: 29.64 Å³ per atom
* energy relative to the elements, uncorrected: -100.3 meV/atom
* raw total energy: -25.30 eV per atom

a b c (Å): 4.6917 5.6202 5.6202
angles (deg): 90.00 90.00 90.00
Fractional coordinates of all 5 atoms:
Sr  0.0000  0.0000  0.5000
Sr  0.0000  0.5000  0.0000
Mn  0.0000  0.0000  0.0000
Se  0.5000  0.5000  0.5000
La  0.5000  0.0000  0.0000